Entry from the Alexandria database: a PBEsol-optimized structure of ZrAlCd2 (meta-GGA SCAN).

Output
Relative energy among the computed polymorphs in eV per atom: 0.174
Crystal system: monoclinic
Symmetry: P2/m (10)
Electronic total energy in eV/atom: -24.96
ΔE_f in eV per atom: -0.14
Total moment in μB per cell: 0.000

```
ZrAlCd2
1.0
2.924 0.000 0.000
0.000 5.261 -0.082
0.000 -1.889 5.176
Al Zr Cd
1 1 2
direct
0.000 0.500 0.500
0.500 0.000 0.500
0.000 0.000 0.000
0.500 0.500 0.000
```

=====

Entry from the Alexandria database: a PBEsol-optimized structure of ZrAl2Cd (meta-GGA SCAN).

Output
Crystal system: tetragonal
Symmetry: P4/mmm (123)
Electronic total energy in eV/atom: -19.58
ΔE_f in eV per atom: -0.42
Total moment in μB per cell: 0.000

```
ZrAl2Cd
1.0
-1.167 -3.837 0.616
0.426 -0.789 -4.111
4.007 -1.117 0.630
Al Zr Cd
2 1 1
direct
0.000 0.000 0.500
0.000 0.500 0.000
0.500 0.000 0.000
0.500 0.500 0.500
```

=====

Entry from the Alexandria database: a PBEsol-optimized structure of Zr2AlCd (meta-GGA SCAN).

Output
Crystal system: tetragonal
Symmetry: P4/mmm (123)
Electronic total energy in eV/atom: -25.22
ΔE_f in eV per atom: -0.33
Total moment in μB per cell: 0.057

```
Zr2AlCd
1.0
-0.535 4.146 -0.636
-4.277 -0.561 -0.057
-0.140 0.636 4.265
Al Zr Cd
1 2 1
direct
0.500 0.500 0.500
0.000 0.000 0.500
0.000 0.500 0.000
0.500 0.000 0.000
```

=====

Entry from the Alexandria database: a PBEsol-optimized structure of Zr2AlCd (meta-GGA SCAN).

Output
Crystal system: orthorhombic
Symmetry: Cmmm (65)
Electronic total energy in eV/atom: -25.23
ΔE_f in eV per atom: -0.34
Total moment in μB per cell: 0.066

```
Zr2AlCd
1.0
3.045 0.000 0.000
0.000 5.215 0.000
0.000 -1.650 4.947
Al Zr Cd
1 2 1
direct
0.500 0.000 0.000
0.000 0.500 0.000
0.000 0.000 0.500
0.500 0.500 0.500
```

=====

Entry from the Alexandria database: a PBEsol-optimized structure of ZrAlCd (meta-GGA SCAN).

Output
Crystal system: cubic
Symmetry: F-43m (216)
Electronic total energy in eV/atom: -22.61
ΔE_f in eV per atom: 0.34
Total moment in μB per cell: 0.000

```
ZrAlCd
1.0
4.634 0.000 0.000
2.317 4.013 0.000
2.317 1.338 3.784
Al Zr Cd
1 1 1
direct
0.000 0.000 0.000
0.750 0.750 0.750
0.500 0.500 0.500
```

=====

Entry from the Alexandria database: a PBEsol-optimized structure of ZrAlCd2 (meta-GGA SCAN).

Output
Relative energy among the computed polymorphs in eV per atom: 0.144
Crystal system: tetragonal
Symmetry: P4mm (99)
Electronic total energy in eV/atom: -24.99
ΔE_f in eV per atom: -0.17
Total moment in μB per cell: 0.000

```
ZrAlCd2
1.0
-1.477 0.213 2.733
-2.047 -2.150 -0.939
4.696 -5.776 2.987
Al Zr Cd
1 1 2
direct
0.500 0.500 0.750
0.000 0.000 0.519
0.000 0.000 0.987
0.500 0.500 0.244
```

=====

Entry from the Alexandria database: a PBEsol-optimized structure of Zr2AlCd (meta-GGA SCAN).

Output
Crystal system: trigonal
Symmetry: R-3m (166)
Electronic total energy in eV/atom: -25.02
ΔE_f in eV per atom: -0.13
Total moment in μB per cell: 0.000

```
Zr2AlCd
1.0
-2.450 -1.736 0.373
0.258 -3.014 -0.061
0.845 -1.653 10.138
Al Zr Cd
1 2 1
direct
0.500 0.500 0.500
0.247 0.247 0.258
0.753 0.753 0.742
0.000 0.000 0.000
```

=====

Entry from the Alexandria database: a PBEsol-optimized structure of ZrAlCd3 (meta-GGA SCAN).

Output
Crystal system: cubic
Symmetry: Pm-3m (221)
Electronic total energy in eV/atom: -24.83
ΔE_f in eV per atom: 1.11
Total moment in μB per cell: 3.287

```
ZrAlCd3
1.0
5.482 0.000 0.000
0.000 5.482 0.000
0.000 0.000 5.482
Al Zr Cd
1 1 3
direct
0.500 0.500 0.500
0.000 0.000 0.000
0.000 0.500 0.000
0.000 0.000 0.500
0.500 0.000 0.000
```

=====

Entry from the Alexandria database: a PBEsol-optimized structure of Zr2AlCd (meta-GGA SCAN).

Output
Crystal system: tetragonal
Symmetry: I4/mmm (139)
Electronic total energy in eV/atom: -25.23
ΔE_f in eV per atom: -0.34
Total moment in μB per cell: 0.075

```
Zr2AlCd
1.0
4.321 0.000 0.000
0.000 4.321 0.000
-2.160 -2.160 4.208
Al Zr Cd
1 2 1
direct
0.500 0.500 0.000
0.750 0.250 0.500
0.250 0.750 0.500
0.000 0.000 0.000
```

=====

Entry from the Alexandria database: a PBEsol-optimized structure of ZrAlCd (meta-GGA SCAN).

Output
Crystal system: hexagonal
Symmetry: P-6m2 (187)
Electronic total energy in eV/atom: -23.32
ΔE_f in eV per atom: -0.36
Total moment in μB per cell: 0.000

```
ZrAlCd
1.0
3.190 0.000 0.000
0.000 4.552 0.000
0.000 -2.276 3.942
Al Zr Cd
1 1 1
direct
0.000 0.000 0.000
0.500 0.667 0.333
0.000 0.333 0.667
```

=====

Entry from the Alexandria database: a PBEsol-optimized structure of Zr2Al2Cd (meta-GGA SCAN).

Output
Crystal system: tetragonal
Symmetry: P4/mbm (127)
Electronic total energy in eV/atom: -21.88
ΔE_f in eV per atom: -0.41
Total moment in μB per cell: 0.000

```
Zr2Al2Cd
1.0
-1.365 1.478 -3.515
-0.217 -6.380 -2.599
-6.486 -0.688 2.230
Al Zr Cd
4 4 2
direct
0.000 0.372 0.872
0.000 0.872 0.628
0.000 0.628 0.128
0.000 0.128 0.372
0.500 0.171 0.671
0.500 0.671 0.829
0.500 0.829 0.329
0.500 0.329 0.171
0.000 0.000 0.000
0.000 0.500 0.500
```

=====

Entry from the Alexandria database: a PBEsol-optimized structure of CeAl2 (meta-GGA SCAN).

Output
Crystal system: cubic
Symmetry: Fd-3m (227)
Electronic total energy in eV/atom: -20.50
ΔE_f in eV per atom: -0.48
Total moment in μB per cell: 2.564

```
CeAl2
1.0
-0.998 5.459 -0.314
-0.442 2.463 -4.964
-4.945 1.824 -1.767
Al Ce
4 2
direct
0.125 0.625 0.625
0.625 0.625 0.625
0.625 0.625 0.125
0.625 0.125 0.625
0.000 0.000 0.000
0.250 0.250 0.250
```

=====

Entry from the Alexandria database: a PBEsol-optimized structure of Ce3Al11 (meta-GGA SCAN).

Output
Crystal system: orthorhombic
Symmetry: Immm (71)
Electronic total energy in eV/atom: -16.01
ΔE_f in eV per atom: -0.37
Total moment in μB per cell: 2.986

```
Ce3Al11
1.0
4.331 0.000 0.000
2.166 8.063 -0.044
2.166 1.999 7.811
Al Ce
11 3
direct
0.662 0.708 0.968
0.338 0.292 0.032
0.662 0.968 0.708
0.338 0.032 0.292
0.500 0.706 0.294
0.500 0.294 0.706
0.862 0.414 0.862
0.138 0.586 0.138
0.862 0.862 0.414
0.138 0.138 0.586
0.000 0.500 0.500
0.687 0.313 0.313
0.313 0.687 0.687
0.000 0.000 0.000
```

=====

Entry from the Alexandria database: a PBEsol-optimized structure of CeAlCo4 (meta-GGA SCAN).

Output
Relative energy among the computed polymorphs in eV per atom: 0.000
Crystal system: orthorhombic
Symmetry: Cmmm (65)
Electronic total energy in eV/atom: -20.43
ΔE_f in eV per atom: -0.17
Total moment in μB per cell: 3.977

```
CeAlCo4
1.0
-0.107 -3.851 1.128
4.804 -0.182 -0.169
-2.095 1.271 4.140
Co Al Ce
4 1 1
direct
0.000 0.696 0.304
0.000 0.304 0.696
0.500 0.500 0.000
0.500 0.000 0.500
0.500 0.500 0.500
0.000 0.000 0.000
```

=====

Entry from the Alexandria database: a PBEsol-optimized structure of CeAlCo4 (meta-GGA SCAN).

Output
Relative energy among the computed polymorphs in eV per atom: 0.044
Crystal system: hexagonal
Symmetry: P-6m2 (187)
Electronic total energy in eV/atom: -20.38
ΔE_f in eV per atom: -0.13
Total moment in μB per cell: 3.799

```
CeAlCo4
1.0
-3.659 0.307 1.072
0.255 -4.480 2.153
1.110 4.085 2.617
Co Al Ce
4 1 1
direct
0.000 0.000 0.000
0.500 0.674 0.837
0.500 0.163 0.326
0.500 0.163 0.837
0.000 0.333 0.667
0.000 0.667 0.333
```

=====

Entry from the Alexandria database: a PBEsol-optimized structure of CeAlCo (meta-GGA SCAN).

Output
Crystal system: monoclinic
Symmetry: C2/m (12)
Electronic total energy in eV/atom: -23.70
ΔE_f in eV per atom: -0.49
Total moment in μB per cell: 0.002

```
CeAlCo
1.0
4.484 0.000 0.000
0.000 4.677 -0.270
-2.242 -1.784 5.095
Co Al Ce
2 2 2
direct
0.176 0.879 0.352
0.824 0.121 0.648
0.581 0.824 0.162
0.419 0.176 0.838
0.861 0.629 0.721
0.139 0.371 0.279
```

=====

Entry from the Alexandria database: a PBEsol-optimized structure of CeAl20Co2 (meta-GGA SCAN).

Output
Crystal system: cubic
Symmetry: Fd-3m (227)
Electronic total energy in eV/atom: -10.34
ΔE_f in eV per atom: -0.16
Total moment in μB per cell: 2.757

```
CeAl20Co2
1.0
10.184 0.000 0.000
5.092 8.820 0.000
5.092 2.940 8.315
Ce Al Co
2 40 4
direct
0.750 0.750 0.750
0.500 0.500 0.500
0.125 0.625 0.625
0.625 0.625 0.625
0.625 0.625 0.125
0.625 0.125 0.625
0.865 0.135 0.865
0.385 0.115 0.115
0.115 0.385 0.385
0.115 0.385 0.115
0.385 0.385 0.115
0.115 0.115 0.385
0.865 0.865 0.135
0.865 0.135 0.135
0.135 0.865 0.865
0.135 0.135 0.865
0.385 0.115 0.385
0.135 0.865 0.135
0.568 0.298 0.298
0.952 0.415 0.952
0.415 0.952 0.682
0.415 0.682 0.952
0.952 0.952 0.415
0.952 0.682 0.415
0.952 0.415 0.682
0.568 0.298 0.835
0.568 0.835 0.298
0.298 0.298 0.568
0.298 0.568 0.298
0.835 0.298 0.568
0.298 0.298 0.835
0.298 0.835 0.298
0.835 0.568 0.298
0.952 0.952 0.682
0.952 0.682 0.952
0.415 0.952 0.952
0.682 0.952 0.952
0.682 0.952 0.415
0.682 0.415 0.952
0.298 0.568 0.835
0.298 0.835 0.568
0.835 0.298 0.298
0.125 0.625 0.125
0.125 0.125 0.625
0.625 0.125 0.125
0.125 0.125 0.125
```

=====

Entry from the Alexandria database: a PBEsol-optimized structure of Ce3AlCrS7 (meta-GGA SCAN).

Output
ΔE_f (raw) in kJ per mole of atoms: -179.1
Crystal system: hexagonal
Symmetry: P6_3 (173)
Electronic total energy in eV/atom: -20.79
Total moment in μB per cell: 2.000

```
Ce3AlCrS7
1.0
-3.346 -0.796 -5.047
-0.404 -9.329 1.739
-6.671 5.779 3.511
Ce Al Cr S
6 2 2 14
direct
0.278 0.628 0.822
0.778 0.372 0.178
0.278 0.194 0.372
0.278 0.178 0.806
0.778 0.822 0.194
0.778 0.806 0.628
0.855 0.333 0.667
0.355 0.667 0.333
0.432 0.000 0.000
0.932 0.000 0.000
0.492 0.333 0.667
0.992 0.667 0.333
0.991 0.465 0.545
0.491 0.535 0.455
0.991 0.080 0.535
0.991 0.455 0.920
0.491 0.545 0.080
0.491 0.920 0.465
0.685 0.776 0.892
0.185 0.224 0.108
0.685 0.116 0.224
0.685 0.108 0.884
0.185 0.892 0.116
0.185 0.884 0.776
```

=====

Entry from the Alexandria database: a PBEsol-optimized structure of CeAlCu (meta-GGA SCAN).

Output
Crystal system: hexagonal
Symmetry: P-62m (189)
Electronic total energy in eV/atom: -22.86
ΔE_f in eV per atom: -0.35
Total moment in μB per cell: 2.440

```
CeAlCu
1.0
-0.209 1.799 3.810
0.692 -6.117 2.926
5.519 3.725 -1.456
Cu Ce Al
3 3 3
direct
0.000 0.333 0.667
0.000 0.667 0.333
0.500 0.000 0.000
0.500 0.575 0.000
0.500 0.425 0.425
0.500 0.000 0.575
0.000 0.765 0.765
0.000 0.000 0.235
0.000 0.235 0.000
```

=====

Entry from the Alexandria database: a PBEsol-optimized structure of CeAl10Fe2 (meta-GGA SCAN).

Output
Crystal system: orthorhombic
Symmetry: Cmcm (63)
Electronic total energy in eV/atom: -12.52
ΔE_f in eV per atom: -0.34
Total moment in μB per cell: 0.340

```
CeAl10Fe2
1.0
6.721 -0.002 0.000
-0.905 6.660 0.000
0.000 0.000 8.906
Al Ce Fe
20 2 4
direct
0.412 0.132 0.750
0.132 0.412 0.250
0.588 0.868 0.250
0.868 0.588 0.750
0.522 0.779 0.750
0.779 0.522 0.250
0.478 0.221 0.250
0.221 0.478 0.750
0.840 0.160 0.402
0.160 0.840 0.598
0.840 0.160 0.098
0.160 0.840 0.902
0.625 0.375 0.949
0.375 0.625 0.051
0.625 0.375 0.551
0.375 0.625 0.449
0.774 0.774 0.000
0.774 0.774 0.500
0.226 0.226 0.000
0.226 0.226 0.500
0.877 0.123 0.750
0.123 0.877 0.250
0.500 0.000 0.000
0.000 0.500 0.000
0.500 0.000 0.500
0.000 0.500 0.500
```

=====

Entry from the Alexandria database: a PBEsol-optimized structure of CeAl8Fe4 (meta-GGA SCAN).

Output
Crystal system: tetragonal
Symmetry: I4/mmm (139)
Electronic total energy in eV/atom: -14.21
ΔE_f in eV per atom: -0.44
Total moment in μB per cell: 5.999

```
CeAl8Fe4
1.0
4.966 0.000 0.000
2.483 6.123 0.000
2.483 0.000 6.123
Ce Al Fe
1 8 4
direct
0.000 0.000 0.000
0.658 0.342 0.342
0.000 0.342 0.658
0.000 0.658 0.342
0.342 0.658 0.658
0.721 0.779 0.779
0.500 0.779 0.221
0.500 0.221 0.779
0.279 0.221 0.221
0.500 0.500 0.000
0.000 0.500 0.000
0.500 0.000 0.500
0.000 0.000 0.500
```

=====

Entry from the Alexandria database: a PBEsol-optimized structure of CeAl2Ge2 (meta-GGA SCAN).

Output
Crystal system: trigonal
Symmetry: P-3m1 (164)
Electronic total energy in eV/atom: -20.11
ΔE_f in eV per atom: -0.46
Total moment in μB per cell: 1.238

```
CeAl2Ge2
1.0
4.232 0.000 0.000
-2.116 3.665 0.000
0.000 0.000 6.763
Ge Al Ce
2 2 1
direct
0.333 0.667 0.262
0.667 0.333 0.738
0.333 0.667 0.643
0.667 0.333 0.357
0.000 0.000 0.000
```

=====

Entry from the Alexandria database: a PBEsol-optimized structure of CeAlH2Ir (meta-GGA SCAN).

Output
Crystal system: hexagonal
Symmetry: P6_3/mmc (194)
Electronic total energy in eV/atom: -26.83
Total moment in μB per cell: 1.757

```
CeAlH2Ir
1.0
-2.737 -2.712 -2.031
3.889 -1.432 1.343
-3.151 -2.030 6.958
Ce Al H Ir
2 2 4 2
direct
0.000 0.000 0.000
0.000 0.000 0.500
0.333 0.667 0.750
0.667 0.333 0.250
0.333 0.667 0.466
0.667 0.333 0.534
0.667 0.333 0.966
0.333 0.667 0.034
0.333 0.667 0.250
0.667 0.333 0.750
```